1.
Here is crystalline Ce2Pr3NdDy6 at its relaxed geometry from Alexandria. Energies are from PBE-GGA.

Properties
Size of the total moment (Bohr magnetons per cell): 1.95
Crystal system: monoclinic
Formation energy (eV/atom): 0.05
Volume (Å³ per atom): 32.63

```
Ce2Pr3NdDy6
1.0
6.237 -0.001 0.007
-3.118 5.402 0.007
-1.052 -1.822 11.619
Nd Pr Dy Ce
1 3 6 2
Direct
0.000 0.000 0.000
0.166 0.834 0.500
0.834 0.166 0.500
0.500 0.500 0.500
0.254 0.254 0.754
0.582 0.918 0.754
0.418 0.082 0.246
0.082 0.418 0.246
0.918 0.582 0.754
0.746 0.746 0.246
0.333 0.667 0.000
0.667 0.333 0.000
```

---

2.
Here is crystalline CePr6Nd2Dy at its relaxed geometry from Alexandria. Energies are from PBE-GGA.

Properties
Size of the total moment (Bohr magnetons per cell): 1.08
Crystal system: monoclinic
Formation energy (eV/atom): 0.23
Volume (Å³ per atom): 35.61

```
CePr6Nd2Dy
1.0
10.292 0.000 -0.194
0.000 7.246 0.000
-3.292 -3.623 4.838
Pr Dy Nd Ce
6 1 2 1
Direct
0.443 0.662 0.324
0.803 0.907 0.374
0.197 0.093 0.626
0.557 0.338 0.676
0.197 0.533 0.626
0.803 0.467 0.374
0.500 0.000 0.000
0.827 0.973 0.946
0.173 0.027 0.054
0.000 0.500 0.000
```

---

3.
Here is crystalline CeNd2DyPt2 at its relaxed geometry from Alexandria. Energies are from PBE-GGA.

Properties
Size of the total moment (Bohr magnetons per cell): 0.92
Crystal system: orthorhombic
Formation energy (eV/atom): -0.75
Volume (Å³ per atom): 27.78

```
CeNd2DyPt2
1.0
6.813 0.000 0.000
0.000 6.851 0.000
-3.407 -3.426 7.143
Pt Nd Dy Ce
4 4 2 2
Direct
0.112 0.866 0.223
0.612 0.358 0.223
0.388 0.642 0.777
0.888 0.134 0.777
0.190 0.424 0.381
0.810 0.576 0.619
0.310 0.044 0.619
0.690 0.956 0.381
0.250 0.500 0.000
0.750 0.500 0.000
0.250 0.000 0.000
0.750 0.000 0.000
```

---

4.
Here is crystalline CeNdDy4S8 at its relaxed geometry from Alexandria. Energies are from PBE-GGA.

Properties
Size of the total moment (Bohr magnetons per cell): 1.65
Crystal system: trigonal
Formation energy from raw total energies (eV/atom): -1.9099
Volume (Å³ per atom): 27.40

```
CeNdDy4S8
1.0
8.123 0.000 0.000
4.062 7.035 0.000
4.062 2.345 6.714
Nd Dy S Ce
1 4 8 1
Direct
0.000 0.000 0.001
0.500 0.000 0.500
0.000 0.000 0.500
0.000 0.500 0.500
0.626 0.626 0.122
0.245 0.245 0.729
0.238 0.238 0.287
0.751 0.232 0.267
0.758 0.758 0.726
0.782 0.245 0.729
0.232 0.751 0.267
0.751 0.751 0.267
0.245 0.782 0.729
0.374 0.374 0.879
```

---

5.
Here is crystalline Ce4Nd3DyS8 at its relaxed geometry from Alexandria. Energies are from PBE-GGA.

Properties
Size of the total moment (Bohr magnetons per cell): 2.98
Crystal system: trigonal
Formation energy from raw total energies (eV/atom): -2.0330
Volume (Å³ per atom): 23.12

```
Ce4Nd3DyS8
1.0
8.056 0.000 0.000
0.000 8.059 -0.001
-4.028 -4.023 5.698
Nd S Ce Dy
3 8 4 1
Direct
0.500 0.500 0.000
0.000 0.500 0.500
0.500 0.500 0.500
0.244 0.252 0.998
0.756 0.748 0.002
0.754 0.252 0.509
0.246 0.748 0.002
0.246 0.748 0.491
0.754 0.252 0.998
0.751 0.753 0.502
0.249 0.247 0.498
0.000 0.000 0.000
0.000 0.000 0.500
0.500 0.000 0.000
0.500 0.000 0.500
0.000 0.500 0.000
```

---

6.
Here is crystalline Ce2NdDyS5 at its relaxed geometry from Alexandria. Energies are from PBE-GGA.

Properties
Size of the total moment (Bohr magnetons per cell): 3.34
Crystal system: tetragonal
Formation energy from raw total energies (eV/atom): -1.4871
Volume (Å³ per atom): 28.17

```
Ce2NdDyS5
1.0
-3.758 -0.728 3.066
0.768 -4.839 -0.207
6.567 0.690 8.215
S Dy Ce Nd
5 1 2 1
Direct
0.500 0.500 0.000
0.000 0.000 0.751
0.000 0.500 0.500
0.000 0.000 0.249
0.500 0.000 0.500
0.000 0.000 0.500
0.500 0.500 0.308
0.500 0.500 0.692
0.000 0.000 0.000
```

---

- What is the size of the total moment in the second record?
  1.08 Bohr magnetons per cell